K2Tl3CdBr6: optimized geometry, GGA-PBE.

Structure (POSCAR):
```
K2Tl3CdBr6
1.0
8.126 -0.004 0.000
-4.065 7.037 0.000
-1.354 -2.345 7.709
K Tl Cd Br
2 3 1 6
Direct
0.334 0.666 0.000
0.666 0.334 0.000
0.170 0.830 0.500
0.830 0.170 0.500
0.500 0.500 0.500
0.000 0.000 0.000
0.921 0.598 0.762
0.759 0.759 0.242
0.079 0.402 0.238
0.598 0.921 0.762
0.241 0.241 0.758
0.402 0.079 0.238
```

spin magnetization = 0.84 μB per cell
formation energy (no corrections) = -1.041 eV per atom
uncorrected energy = -0.100 Ha/atom
symmetry = C2/m (12)